Entry 1:
VASP calculation (PBE-GGA) on a geometry-optimized Th3NbN6 structure.

CIF file:
```
data_Th3NbN6
_chemical_formula_sum 'Th12 Nb4 N24'
_space_group_name_H-M_alt 'C m c 21'
_space_group_IT_number 36
_space_group_name_Hall 'C 2c -2'
_cell_length_a 9.479
_cell_length_b 11.892
_cell_length_c 5.789
_cell_angle_alpha 90.00
_cell_angle_beta 90.00
_cell_angle_gamma 90.00
loop_
_atom_site_label
_atom_site_fract_x
_atom_site_fract_y
_atom_site_fract_z
Th1 0.000 0.105 0.000
Th2 0.196 0.393 0.968
Nb1 0.000 0.306 0.433
N1 0.000 0.287 0.783
N2 0.000 0.454 0.291
N3 0.154 0.238 0.261
N4 0.159 0.010 0.727
```

Output
**M_tot**: 0.0 μB/f.u.
**Fermi-level density of states**: 32.8 states/eV/cell

Entry 2:
VASP calculation (PBE-GGA) on a geometry-optimized Pm5PrIn2 structure.

CIF file:
```
data_Pm5PrIn2
_chemical_formula_sum 'Pm10 Pr2 In4'
_space_group_name_H-M_alt 'P b a m'
_space_group_IT_number 55
_space_group_name_Hall '-P 2 2ab'
_cell_length_a 7.024
_cell_length_b 14.047
_cell_length_c 4.974
_cell_angle_alpha 90.00
_cell_angle_beta 90.00
_cell_angle_gamma 90.00
loop_
_atom_site_label
_atom_site_fract_x
_atom_site_fract_y
_atom_site_fract_z
Pm1 0.000 0.000 0.000
Pm2 0.001 0.249 0.000
Pm3 0.250 0.125 0.500
Pr1 0.000 0.500 0.000
In1 0.248 0.874 0.500
```

Output
**M_tot**: 0.0 μB/f.u.
**ΔE_f**: -0.275 eV/atom
**Fermi-level density of states**: 24.7 states/eV/cell
**Relative energy among the computed polymorphs**: 0 meV per atom

Entry 3:
VASP calculation (PBE-GGA) on a geometry-optimized UPaSe2N structure.

CIF file:
```
data_UPaSe2N
_chemical_formula_sum 'U2 Pa2 Se4 N2'
_space_group_name_H-M_alt 'P 4/n m m'
_space_group_IT_number 129
_cell_length_a 3.928
_cell_length_b 3.928
_cell_length_c 13.714
_cell_angle_alpha 90.00
_cell_angle_beta 90.00
_cell_angle_gamma 90.00
loop_
_space_group_symop_operation_xyz
'x,y,z'
'-x,-y,-z'
'-y+1/2,x,z'
'y+1/2,-x,-z'
'-x+1/2,-y+1/2,z'
'x+1/2,y+1/2,-z'
'y,-x+1/2,z'
'-y,x+1/2,-z'
'x+1/2,-y,-z'
'-x+1/2,y,z'
'-y,-x,-z'
'y,x,z'
'-x,y+1/2,-z'
'x,-y+1/2,z'
'y+1/2,x+1/2,-z'
'-y+1/2,-x+1/2,z'
loop_
_atom_site_label
_atom_site_fract_x
_atom_site_fract_y
_atom_site_fract_z
U1 0.250 0.250 0.090
Pa1 0.250 0.250 0.587
Se1 0.250 0.250 0.307
Se2 0.250 0.250 0.876
N1 0.250 0.750 0.500
```

Output
**M_tot**: 2.7 μB/f.u.
**Fermi-level density of states**: 11.2 states/eV/cell

Number 1: E_tot -0.352 Ha/atom. Number 2: E_tot -0.166 Ha/atom. Number 3: E_tot -0.318 Ha/atom.